A geometry-optimized Mg2FeAuO structure. Source: Alexandria, functional PBE+U.

- E_tot (eV per atom) = -3.494
- magnetization (μB/cell) = 2.6

Cell: 5.1097 3.5476 5.1097 Å, 90.00 90.00 90.00°
Last column: nearest neighbours and their distance in Å.
Fractional positions:
1 Fe 0.0000 0.0000 0.0000  2 O 1.77
2 O 0.0000 0.5000 0.0000  2 Fe 1.77
3 Au 0.5000 0.5000 0.5000  8 Mg 3.11
4 Mg 0.5000 0.0000 0.0000  2 Fe 2.55
5 Mg 0.0000 0.0000 0.5000  2 Fe 2.55